Record 1
VASP calculation (PBE) on an optimized crystal structure of MnAlRu2.

a b c (Å): 2.8257 2.8257 6.5315
angles (deg): 90.00 90.00 90.00
Space group P4mm (No. 99)
Inequivalent atoms, fractional coordinates:
Mn  0.0000  0.0000  0.0000
Al  0.5000  0.5000  0.7660
Ru  0.0000  0.0000  0.5192
Ru  0.5000  0.5000  0.2386

---

Record 2
VASP calculation (PBE) on an optimized crystal structure of MnAl2Ru.

a b c (Å): 2.8030 2.8030 24.6486
angles (deg): 90.00 90.00 120.00
Space group R-3m (No. 166, hexagonal axes)
Inequivalent atoms, fractional coordinates:
Mn  0.0000  0.0000  0.0000
Al  0.0000  0.0000  0.2496
Ru  0.0000  0.0000  0.5000

---

Record 3
VASP calculation (PBE) on an optimized crystal structure of MnAlRu2.

a b c (Å): 3.6717 3.6717 8.0821
angles (deg): 90.00 90.00 90.00
Space group I-4m2 (No. 119)
Inequivalent atoms, fractional coordinates:
Mn  0.0000  0.0000  0.0000
Al  0.0000  0.5000  0.2500
Ru  0.0000  0.0000  0.5000
Ru  0.0000  0.5000  0.7500

---

Number 1: DFT formation energy -0.117 eV/atom, DFT total energy -7.983 eV/atom. Number 2: DFT formation energy -0.209 eV/atom, DFT total energy -6.691 eV/atom. Number 3: DFT formation energy -0.210 eV/atom, DFT total energy -8.076 eV/atom.